A plane-wave DFT calculation with PBE was carried out for an optimized crystal structure of LiHfTc.

abc: 5.4092 5.4092 6.5926
angles: 105.80 105.80 34.17
With the nearest neighbours (Å) after each atom.
Sites, in units of the cell vectors:
Li: 0.1966 0.1966 0.1185  2 Li 2.68, 3 Tc 2.75-2.98, 3 Hf 2.97
Li: 0.8034 0.8034 0.8815  2 Li 2.68, 3 Tc 2.75-2.98, 3 Hf 2.97
Hf: 0.4964 0.4964 0.2617  4 Tc 2.70-2.81, 3 Li 2.97
Hf: 0.5036 0.5036 0.7383  4 Tc 2.70-2.81, 3 Li 2.97
Tc: 0.1628 0.1628 0.5527  2 Tc 2.64, 4 Hf 2.70-2.81, 2 Li 2.75
Tc: 0.8372 0.8372 0.4473  2 Tc 2.64, 4 Hf 2.70-2.81, 2 Li 2.75

Computed properties:
Distance to the lowest polymorph of the same formula, eV/f.u.: 0.21
M_tot, μB/atom: 0.000
Energy, eV/f.u.: -22.2
DFT formation energy, eV/atom: 0.00

A plane-wave DFT calculation with PBE was carried out for an optimized crystal structure of Li2Hf2Tc.

abc: 6.9135 6.9135 3.7904
angles: 90.00 90.00 90.00
With the nearest neighbours (Å) after each atom.
Sites, in units of the cell vectors:
Li: 0.1485 0.3515 0.0000  6 Hf 2.68-2.84, 1 Li 2.90
Li: 0.3515 0.8515 0.0000  6 Hf 2.68-2.84, 1 Li 2.90
Li: 0.6485 0.1485 0.0000  6 Hf 2.68-2.84, 1 Li 2.90
Li: 0.8515 0.6485 0.0000  6 Hf 2.68-2.84, 1 Li 2.90
Hf: 0.1577 0.6577 0.5000  2 Tc 2.61, 6 Li 2.68-2.84
Hf: 0.3423 0.1577 0.5000  2 Tc 2.61, 6 Li 2.68-2.84
Hf: 0.6577 0.8423 0.5000  2 Tc 2.61, 6 Li 2.68-2.84
Hf: 0.8423 0.3423 0.5000  2 Tc 2.61, 6 Li 2.68-2.84
Tc: 0.0000 0.0000 0.5000  4 Hf 2.61
Tc: 0.5000 0.5000 0.5000  4 Hf 2.61

Computed properties:
Distance to the lowest polymorph of the same formula, eV/f.u.: 1.73
M_tot, μB/atom: 0.000
Energy, eV/f.u.: -31.8
DFT formation energy, eV/atom: 0.45

A plane-wave DFT calculation with PBE was carried out for an optimized crystal structure of LiHf3Tc.

abc: 4.5508 4.5508 4.5508
angles: 90.00 90.00 90.00
With the nearest neighbours (Å) after each atom.
Sites, in units of the cell vectors:
Li: 0.0000 0.0000 0.0000  6 Hf 2.28
Hf: 0.0000 0.0000 0.5000  2 Li 2.28
Hf: 0.0000 0.5000 0.0000  2 Li 2.28
Hf: 0.5000 0.0000 0.0000  2 Li 2.28
Tc: 0.5000 0.5000 0.5000  12 Hf 3.22

Computed properties:
Distance to the lowest polymorph of the same formula, eV/f.u.: 2.41
M_tot, μB/atom: 0.000
Energy, eV/f.u.: -37.1
DFT formation energy, eV/atom: 1.00

A plane-wave DFT calculation with PBE was carried out for an optimized crystal structure of LiHfTc2.

abc: 5.3513 4.3957 5.4886
angles: 90.00 100.71 90.00
With the nearest neighbours (Å) after each atom.
Sites, in units of the cell vectors:
Li: 0.0000 0.0000 0.0000  6 Tc 2.73-2.94, 2 Li 2.81, 4 Hf 3.01-3.02
Li: 0.2715 0.5000 0.8622  3 Tc 2.55-2.62, 3 Hf 2.73-2.78, 2 Li 2.81
Hf: 0.2237 0.5000 0.3483  5 Tc 2.66-2.84, 2 Li 2.73-2.78
Hf: 0.7640 0.5000 0.6552  6 Tc 2.72-2.80, 3 Li 2.74-3.02
Tc: 0.0196 0.0000 0.5000  2 Tc 2.58-2.70, 4 Hf 2.66-2.80, 2 Li 2.73-2.77
Tc: 0.4831 0.0000 0.7362  3 Tc 2.58-2.85, 3 Li 2.62-2.87, 2 Hf 2.75
Tc: 0.5314 0.0000 0.2617  4 Tc 2.54-2.70, 2 Hf 2.84
Tc: 0.7106 0.5000 0.1392  2 Tc 2.54, 1 Li 2.55, 3 Hf 2.72-2.79

Computed properties:
Distance to the lowest polymorph of the same formula, eV/f.u.: 0.12
M_tot, μB/atom: 0.000
Energy, eV/f.u.: -32.6
DFT formation energy, eV/atom: 0.00

A plane-wave DFT calculation with PBE was carried out for an optimized crystal structure of LiHfTc2.

abc: 4.4431 4.4431 4.4431
angles: 60.00 60.00 60.00
With the nearest neighbours (Å) after each atom.
Sites, in units of the cell vectors:
Li: 0.0000 0.0000 0.0000  8 Tc 2.72
Hf: 0.5000 0.5000 0.5000  8 Tc 2.72
Tc: 0.2500 0.2500 0.2500  4 Hf 2.72, 4 Li 2.72
Tc: 0.7500 0.7500 0.7500  4 Hf 2.72, 4 Li 2.72

Computed properties:
Distance to the lowest polymorph of the same formula, eV/f.u.: 1.05
M_tot, μB/atom: 0.000
Energy, eV/f.u.: -31.7
DFT formation energy, eV/atom: 0.23

A plane-wave DFT calculation with PBE was carried out for an optimized crystal structure of LiHfTc2.

abc: 5.2052 5.4442 5.4705
angles: 100.72 102.81 118.24
With the nearest neighbours (Å) after each atom.
Sites, in units of the cell vectors:
Li: 0.0000 0.0000 0.0000  1 Li 2.37
Li: 0.4493 0.0200 0.2472  1 Li 2.37, 1 Tc 2.65
Hf: 0.4554 0.9778 0.7263  3 Li 2.67-2.83, 5 Tc 2.68-2.98
Hf: 0.4867 0.5342 0.0218  5 Tc 2.67-2.89, 3 Li 2.72-2.82
Tc: 0.4680 0.4932 0.5090  4 Tc 2.60-2.83, 1 Li 2.65, 3 Hf 2.72-2.75
Tc: 0.9538 0.4862 0.7517  4 Tc 2.60-2.85, 3 Hf 2.70-2.77, 1 Li 2.74
Tc: 0.9639 0.4792 0.2314  3 Tc 2.62-2.85, 1 Hf 2.67, 3 Li 2.70-2.80
Tc: 0.9693 0.0169 0.5003  3 Tc 2.64-2.83, 2 Hf 2.68-2.89, 3 Li 2.72-2.76

Computed properties:
Distance to the lowest polymorph of the same formula, eV/f.u.: 0.31
M_tot, μB/atom: 0.000
Energy, eV/f.u.: -32.4
DFT formation energy, eV/atom: 0.05

A plane-wave DFT calculation with PBE was carried out for an optimized crystal structure of Li2Hf2Tc.

abc: 9.0890 9.0890 9.0890
angles: 159.25 159.25 29.51
With the nearest neighbours (Å) after each atom.
Sites, in units of the cell vectors:
Li: 0.2500 0.7500 0.5000  4 Li 2.31
Li: 0.7500 0.2500 0.5000  4 Li 2.31
Hf: 0.0884 0.0884 0.0000  4 Tc 2.79, 1 Hf 3.11
Hf: 0.9116 0.9116 0.0000  4 Tc 2.79, 1 Hf 3.11
Tc: 0.5000 0.5000 0.0000  8 Hf 2.79

Computed properties:
Distance to the lowest polymorph of the same formula, eV/f.u.: 0.00
M_tot, μB/atom: 0.000
Energy, eV/f.u.: -33.6
DFT formation energy, eV/atom: 0.11

A plane-wave DFT calculation with PBE was carried out for an optimized crystal structure of Li2HfTc.

abc: 4.3638 4.3638 4.3638
angles: 60.00 60.00 60.00
With the nearest neighbours (Å) after each atom.
Sites, in units of the cell vectors:
Li: 0.2500 0.2500 0.2500  4 Hf 2.67, 4 Tc 2.67
Li: 0.7500 0.7500 0.7500  4 Tc 2.67, 4 Hf 2.67
Hf: 0.0000 0.0000 0.0000  8 Li 2.67
Tc: 0.5000 0.5000 0.5000  8 Li 2.67

Computed properties:
Distance to the lowest polymorph of the same formula, eV/f.u.: 0.33
M_tot, μB/atom: 0.000
Energy, eV/f.u.: -22.5
DFT formation energy, eV/atom: 0.41

A plane-wave DFT calculation with PBE was carried out for an optimized crystal structure of LiHfTc.

abc: 5.3621 5.3621 4.5766
angles: 115.21 115.21 99.57
With the nearest neighbours (Å) after each atom.
Sites, in units of the cell vectors:
Li: 0.0000 0.0000 0.0000  2 Li 2.29
Li: 0.0000 0.0000 0.5000  2 Li 2.29
Hf: 0.3696 0.6304 0.7500  4 Tc 2.81, 4 Li 3.03-3.04, 2 Hf 3.13
Hf: 0.6304 0.3696 0.2500  4 Tc 2.81, 4 Li 3.03-3.04, 2 Hf 3.13
Tc: 0.0000 0.5000 0.0000  2 Tc 2.60, 4 Li 2.68, 4 Hf 2.81
Tc: 0.5000 0.0000 0.5000  2 Tc 2.60, 4 Li 2.68, 4 Hf 2.81

Computed properties:
Distance to the lowest polymorph of the same formula, eV/f.u.: 0.10
M_tot, μB/atom: 0.000
Energy, eV/f.u.: -22.4
DFT formation energy, eV/atom: -0.04

A plane-wave DFT calculation with PBE was carried out for an optimized crystal structure of LiHfThTc.

abc: 4.8743 4.8743 4.8743
angles: 60.00 60.00 60.00
With the nearest neighbours (Å) after each atom.
Sites, in units of the cell vectors:
Li: 0.0000 0.0000 0.0000  4 Hf 2.98, 4 Th 2.98
Hf: 0.2500 0.2500 0.2500  4 Tc 2.98, 4 Li 2.98
Th: 0.7500 0.7500 0.7500  4 Li 2.98, 4 Tc 2.98
Tc: 0.5000 0.5000 0.5000  4 Hf 2.98, 4 Th 2.98

Computed properties:
M_tot, μB/atom: 0.000
Energy, eV/f.u.: -29.9
DFT formation energy, eV/atom: -0.05

A plane-wave DFT calculation with PBE was carried out for an optimized crystal structure of LiHfTiTc.

abc: 4.5229 4.5229 4.5229
angles: 60.00 60.00 60.00
With the nearest neighbours (Å) after each atom.
Sites, in units of the cell vectors:
Li: 0.0000 0.0000 0.0000  4 Ti 2.77, 4 Hf 2.77
Hf: 0.2500 0.2500 0.2500  4 Tc 2.77, 4 Li 2.77
Ti: 0.7500 0.7500 0.7500  4 Li 2.77, 4 Tc 2.77
Tc: 0.5000 0.5000 0.5000  4 Ti 2.77, 4 Hf 2.77

Computed properties:
M_tot, μB/atom: 0.000
Energy, eV/f.u.: -30.8
DFT formation energy, eV/atom: -0.17

A plane-wave DFT calculation with PBE was carried out for an optimized crystal structure of LiTmHfTc.

abc: 4.7352 4.7352 4.7352
angles: 60.00 60.00 60.00
With the nearest neighbours (Å) after each atom.
Sites, in units of the cell vectors:
Li: 0.0000 0.0000 0.0000  4 Tm 2.90, 4 Hf 2.90
Tm: 0.7500 0.7500 0.7500  4 Li 2.90, 4 Tc 2.90
Hf: 0.2500 0.2500 0.2500  4 Tc 2.90, 4 Li 2.90
Tc: 0.5000 0.5000 0.5000  4 Tm 2.90, 4 Hf 2.90

Computed properties:
M_tot, μB/atom: 0.000
Energy, eV/f.u.: -27.3
DFT formation energy, eV/atom: -0.14

- Which of these has the lowest DFT formation energy?
  LiHfTiTc